MgSc2Cd2 meta-GGA SCAN PBEsol geometry; energy of formation from the pure elements = -1.53 eV/f.u.; symmetry = P4/mbm
1.0
7.730 0.000 0.000
0.000 7.730 0.000
0.000 0.000 3.709
Mg Sc Cd
2 4 4
Direct
0.000 0.000 0.000
0.500 0.500 0.000
0.164 0.336 0.500
0.336 0.836 0.500
0.664 0.164 0.500
0.836 0.664 0.500
0.133 0.633 0.000
0.367 0.133 0.000
0.633 0.867 0.000
0.867 0.367 0.000

MgSc2Cd meta-GGA SCAN PBEsol geometry; E above lowest polymorph = 79 meV per atom; energy of formation from the pure elements = -0.69 eV/f.u.; symmetry = Pm
1.0
3.209 0.000 0.000
0.000 4.779 0.000
-1.166 0.000 5.785
Mg Sc Cd
1 2 1
Direct
0.000 0.000 0.000
0.295 0.000 0.519
0.613 0.500 0.213
0.909 0.500 0.724

MgSc2Cd meta-GGA SCAN PBEsol geometry; E above lowest polymorph = 89 meV per atom; energy of formation from the pure elements = -0.65 eV/f.u.; symmetry = P4mm
1.0
3.538 0.000 0.000
0.000 3.538 0.000
0.000 0.000 7.037
Mg Sc Cd
1 2 1
Direct
0.000 0.000 0.000
0.000 0.000 0.520
0.500 0.500 0.265
0.500 0.500 0.764

MgCd2Se meta-GGA SCAN PBEsol geometry; raw formation energy = -0.39 eV per atom; symmetry = R3m
1.0
1.879 1.085 7.631
-1.879 1.085 7.631
0.000 -2.170 7.631
Mg Cd Se
1 2 1
Direct
0.000 0.000 0.000
0.236 0.236 0.236
0.479 0.479 0.479
0.731 0.731 0.731

MgCd2Se meta-GGA SCAN PBEsol geometry; raw formation energy = -0.15 eV per atom; symmetry = P4/mmm
1.0
3.937 0.000 0.000
0.000 3.937 0.000
0.000 0.000 5.612
Mg Cd Se
1 2 1
Direct
0.000 0.000 0.000
0.500 0.500 0.249
0.500 0.500 0.751
0.000 0.000 0.500

MgCdSe2 meta-GGA SCAN PBEsol geometry; raw formation energy = -1.07 eV per atom; symmetry = I-42d
1.0
-3.005 3.005 6.028
3.005 -3.005 6.028
3.005 3.005 -6.028
Mg Cd Se
2 2 4
Direct
0.000 0.000 0.000
0.750 0.250 0.500
0.250 0.750 0.500
0.500 0.500 0.000
0.115 0.625 0.990
0.375 0.365 0.490
0.635 0.125 0.010
0.875 0.885 0.510

MgCdSe2 meta-GGA SCAN PBEsol geometry; raw formation energy = -0.64 eV per atom; symmetry = I-4m2
1.0
-1.878 1.878 7.050
1.878 -1.878 7.050
1.878 1.878 -7.050
Mg Cd Se
1 1 2
Direct
0.000 0.000 0.000
0.250 0.750 0.500
0.500 0.500 0.000
0.750 0.250 0.500

MgCdSe2 meta-GGA SCAN PBEsol geometry; raw formation energy = -0.99 eV per atom; symmetry = P4/mmm
1.0
3.933 0.000 0.000
0.000 3.933 0.000
0.000 0.000 5.565
Mg Cd Se
1 1 2
Direct
0.000 0.000 0.000
0.500 0.500 0.500
0.000 0.000 0.500
0.500 0.500 0.000

MgCd2Se meta-GGA SCAN PBEsol geometry; raw formation energy = -0.05 eV per atom; symmetry = F-43m
1.0
0.000 3.538 3.538
3.538 0.000 3.538
3.538 3.538 0.000
Mg Cd Se
1 2 1
Direct
0.000 0.000 0.000
0.500 0.500 0.500
0.750 0.750 0.750
0.250 0.250 0.250

Mg4CdSe meta-GGA SCAN PBEsol geometry; raw formation energy = 0.06 eV per atom; symmetry = F-43m
1.0
0.000 4.065 4.065
4.065 0.000 4.065
4.065 4.065 0.000
Mg Cd Se
4 1 1
Direct
0.125 0.125 0.125
0.125 0.125 0.626
0.125 0.626 0.125
0.626 0.125 0.125
0.500 0.500 0.500
0.750 0.750 0.750

MgCd2Se meta-GGA SCAN PBEsol geometry; raw formation energy = -0.34 eV per atom; symmetry = P4mm
1.0
3.726 0.000 0.000
0.000 3.726 0.000
0.000 0.000 6.462
Mg Cd Se
1 2 1
Direct
0.000 0.000 0.000
0.000 0.000 0.494
0.500 0.500 0.663
0.500 0.500 0.100

MgCd2Si meta-GGA SCAN PBEsol geometry; E above lowest polymorph = 8 meV per atom; raw formation energy = 0.16 eV per atom; symmetry = P4mm
1.0
3.053 0.000 0.000
0.000 3.053 0.000
0.000 0.000 8.349
Mg Cd Si
1 2 1
Direct
0.000 0.000 0.000
0.000 0.000 0.471
0.500 0.500 0.739
0.500 0.500 0.226

MgCd2Si meta-GGA SCAN PBEsol geometry; E above lowest polymorph = 0 meV per atom; raw formation energy = 0.15 eV per atom; symmetry = I4/mmm
1.0
-2.105 2.105 4.384
2.105 -2.105 4.384
2.105 2.105 -4.384
Mg Cd Si
1 2 1
Direct
0.000 0.000 0.000
0.250 0.750 0.500
0.750 0.250 0.500
0.500 0.500 0.000

MgCdSi meta-GGA SCAN PBEsol geometry; raw formation energy = 0.20 eV per atom; symmetry = I4mm
1.0
-1.512 1.512 6.204
1.512 -1.512 6.204
1.512 1.512 -6.204
Mg Cd Si
1 1 1
Direct
0.000 0.000 0.000
0.321 0.321 0.000
0.653 0.653 0.000

Sm2MgCd meta-GGA SCAN PBEsol geometry; energy of formation from the pure elements = -1.06 eV/f.u.; symmetry = Fm-3m
1.0
0.000 3.761 3.761
3.761 0.000 3.761
3.761 3.761 0.000
Sm Mg Cd
2 1 1
Direct
0.250 0.250 0.250
0.750 0.750 0.750
0.000 0.000 0.000
0.500 0.500 0.500

Number 1: VASP energy -191.6 eV per cell. Number 2: VASP energy -64.6 eV per cell. Number 3: VASP energy -64.5 eV per cell. Number 4: VASP energy -87.5 eV per cell. Number 5: VASP energy -86.5 eV per cell. Number 6: VASP energy -159.7 eV per cell. Number 7: VASP energy -78.1 eV per cell. Number 8: VASP energy -79.5 eV per cell. Number 9: VASP energy -86.1 eV per cell. Number 10: VASP energy -70.0 eV per cell. Number 11: VASP energy -87.3 eV per cell. Number 12: VASP energy -75.2 eV per cell. Number 13: VASP energy -75.2 eV per cell. Number 14: VASP energy -44.8 eV per cell. Number 15: VASP energy -125.3 eV per cell.